Record 1
FeCu3N at its PBEsol-relaxed geometry. Source: Alexandria, functional SCAN.

Calculated values
total moment	4.7	μB per formula unit
total energy	-12.545	eV per atom

Unit cell a=4.308 b=4.308 c=4.308 alpha=90.00 beta=90.00 gamma=90.00
Atoms (fractional coordinates):
1 Cu 0.500 0.000 0.000
2 Cu 0.000 0.500 0.000
3 Cu 0.000 0.000 0.500
4 Fe 0.000 0.000 0.000
5 N 0.500 0.500 0.500

=====

Record 2
Fe2CuPbN at its PBEsol-relaxed geometry. Source: Alexandria, functional SCAN.

Calculated values
total moment	5.9	μB per formula unit
total energy	-25.165	eV per atom

Unit cell a=4.188 b=4.897 c=4.897 alpha=90.00 beta=90.00 gamma=90.00
Atoms (fractional coordinates):
1 Fe 0.000 0.500 0.000
2 Fe 0.000 0.000 0.500
3 N 0.500 0.000 0.000
4 Pb 0.000 0.000 0.000
5 Cu 0.500 0.500 0.500

=====

Record 3
NaFeCuSe2 at its PBEsol-relaxed geometry. Source: Alexandria, functional SCAN.

Calculated values
total moment	4.0	μB per formula unit
total energy	-16.081	eV per atom

Unit cell a=3.942 b=3.942 c=7.095 alpha=90.00 beta=90.00 gamma=120.00
Atoms (fractional coordinates):
1 Cu 0.333 0.667 0.612
2 Na 0.000 0.000 0.994
3 Se 0.667 0.333 0.733
4 Se 0.333 0.667 0.267
5 Fe 0.667 0.333 0.394

=====

Record 4
NbFeCuW2 at its PBEsol-relaxed geometry. Source: Alexandria, functional SCAN.

Calculated values
total moment	3.3	μB per formula unit
energy of formation	1.45	eV/atom

Unit cell a=4.092 b=4.512 c=4.512 alpha=90.00 beta=90.00 gamma=90.00
Atoms (fractional coordinates):
1 Nb 0.500 0.500 0.500
2 Fe 0.500 0.000 0.000
3 W 0.000 0.000 0.500
4 W 0.000 0.500 0.000
5 Cu 0.000 0.000 0.000

=====

Record 5
NdTi3FeCu3O12 at its PBEsol-relaxed geometry. Source: Alexandria, functional SCAN.

Calculated values
total moment	4.0	μB per formula unit
total energy	-13.929	eV per atom

Unit cell a=6.296 b=6.382 c=6.382 alpha=70.26 beta=70.80 gamma=109.20
Atoms (fractional coordinates):
1 O 0.878 0.702 0.822
2 O 0.520 0.706 0.173
3 O 0.814 0.121 0.706
4 O 0.307 0.827 0.879
5 O 0.824 0.525 0.298
6 O 0.693 0.173 0.121
7 O 0.176 0.475 0.702
8 O 0.700 0.822 0.475
9 O 0.480 0.294 0.827
10 O 0.122 0.298 0.178
11 O 0.186 0.879 0.294
12 O 0.300 0.178 0.525
13 Cu 0.000 0.500 0.500
14 Cu 0.500 0.000 0.500
15 Cu 0.500 0.500 0.000
16 Ti 0.000 0.000 0.500
17 Ti 0.000 0.500 0.000
18 Ti 0.500 0.500 0.500
19 Nd 0.000 0.000 0.000
20 Fe 0.500 0.000 0.000

=====

Record 6
FeCuNi2 at its PBEsol-relaxed geometry. Source: Alexandria, functional SCAN.

Calculated values
total moment	4.1	μB per formula unit
energy of formation	-0.01	eV/atom

Unit cell a=2.476 b=4.279 c=4.311 alpha=99.83 beta=106.69 gamma=90.00
Atoms (fractional coordinates):
1 Fe 0.253 0.760 0.506
2 Cu 0.498 0.493 0.997
3 Ni 0.002 0.994 0.004
4 Ni 0.747 0.253 0.494

=====

| no. | ρ (g cm⁻³) |
| --- | --- |
| 1 | 5.41 |
| 2 | 6.55 |
| 3 | 5.22 |
| 4 | 11.56 |
| 5 | 6.09 |
| 6 | 9.13 |